Record 1
V2CrRhN: optimized geometry, PBE.

abc: 3.932 3.932 3.816
angles: 90.00 90.00 90.00
Fractional positions:
V 0.000 0.500 0.000
V 0.500 0.000 0.000
Cr 0.000 0.000 0.500
Rh 0.500 0.500 0.500
N 0.000 0.000 0.000

Results
spin magnetization: 0.8 Bohr magnetons per cell
space-group type: P4/mmm (123)
energy: -46.3 eV/cell



Record 2
CdP14Pb: optimized geometry, PBE.

abc: 14.168 9.768 12.656
angles: 90.00 90.00 90.00
Fractional positions:
Cd 0.112 0.250 0.114
Cd 0.388 0.750 0.614
Cd 0.612 0.250 0.386
Cd 0.888 0.750 0.886
P 0.040 0.074 0.867
P 0.040 0.426 0.867
P 0.052 0.079 0.365
P 0.052 0.421 0.365
P 0.062 0.250 0.761
P 0.067 0.750 0.345
P 0.068 0.750 0.852
P 0.083 0.574 0.743
P 0.083 0.926 0.743
P 0.113 0.537 0.121
P 0.113 0.963 0.121
P 0.142 0.250 0.315
P 0.148 0.571 0.289
P 0.148 0.929 0.289
P 0.352 0.071 0.789
P 0.352 0.429 0.789
P 0.358 0.750 0.815
P 0.387 0.037 0.621
P 0.387 0.463 0.621
P 0.417 0.074 0.243
P 0.417 0.426 0.243
P 0.432 0.250 0.352
P 0.433 0.250 0.845
P 0.438 0.750 0.261
P 0.448 0.579 0.865
P 0.448 0.921 0.865
P 0.460 0.574 0.367
P 0.460 0.926 0.367
P 0.540 0.074 0.633
P 0.540 0.426 0.633
P 0.552 0.079 0.135
P 0.552 0.421 0.135
P 0.562 0.250 0.739
P 0.567 0.750 0.155
P 0.568 0.750 0.648
P 0.583 0.574 0.757
P 0.583 0.926 0.757
P 0.613 0.537 0.379
P 0.613 0.963 0.379
P 0.642 0.250 0.185
P 0.648 0.571 0.211
P 0.648 0.929 0.211
P 0.852 0.071 0.711
P 0.852 0.429 0.711
P 0.858 0.750 0.685
P 0.887 0.037 0.879
P 0.887 0.463 0.879
P 0.917 0.074 0.257
P 0.917 0.426 0.257
P 0.932 0.250 0.148
P 0.933 0.250 0.655
P 0.938 0.750 0.239
P 0.948 0.579 0.635
P 0.948 0.921 0.635
P 0.960 0.574 0.133
P 0.960 0.926 0.133
Pb 0.213 0.750 0.008
Pb 0.287 0.250 0.508
Pb 0.713 0.750 0.492
Pb 0.787 0.250 0.992

Results
spin magnetization: 0.0 Bohr magnetons per cell
E_form: 0.027 eV/atom
space-group type: Pnma (62)



Record 3
CeCuIrO6: optimized geometry, PBE.

abc: 5.435 5.435 8.621
angles: 90.00 90.00 120.00
Fractional positions:
Ce 0.333 0.667 0.250
Ce 0.667 0.333 0.750
Cu 0.000 0.000 0.000
Cu 0.000 0.000 0.500
Ir 0.333 0.667 0.750
Ir 0.667 0.333 0.250
O 0.039 0.362 0.624
O 0.039 0.677 0.876
O 0.323 0.362 0.876
O 0.323 0.961 0.624
O 0.362 0.039 0.124
O 0.362 0.323 0.376
O 0.638 0.677 0.624
O 0.638 0.961 0.876
O 0.677 0.039 0.376
O 0.677 0.638 0.124
O 0.961 0.323 0.124
O 0.961 0.638 0.376

Results
spin magnetization: 1.6 Bohr magnetons per cell
space-group type: P-31c (163)
energy: -121.8 eV/cell



Record 4
LiTaCu2: optimized geometry, PBE.

abc: 2.666 2.666 8.472
angles: 90.00 90.00 104.06
Fractional positions:
Li 0.000 0.000 0.000
Ta 0.500 0.500 0.704
Cu 0.000 0.000 0.451
Cu 0.500 0.500 0.234

Results
spin magnetization: 0.0 Bohr magnetons per cell
E_form: 0.185 eV/atom
space-group type: Cmm2 (35)



Record 5
ScIn3Os: optimized geometry, PBE.

abc: 5.115 5.115 5.115
angles: 90.00 90.00 90.00
Fractional positions:
Sc 0.000 0.000 0.000
In 0.000 0.500 0.500
In 0.500 0.000 0.500
In 0.500 0.500 0.000
Os 0.500 0.500 0.500

Results
spin magnetization: 0.0 Bohr magnetons per cell
E_form: 0.409 eV/atom
space-group type: Pm-3m (221)



Record 6
SrTlRe: optimized geometry, PBE.

abc: 3.327 3.327 7.565
angles: 90.00 90.00 120.00
Fractional positions:
Sr 0.000 0.000 0.000
Tl 0.333 0.667 0.393
Re 0.667 0.333 0.681

Results
spin magnetization: 0.0 Bohr magnetons per cell
E_form: 1.021 eV/atom
space-group type: P3m1 (156)



Record 7
Ga2HgCl: optimized geometry, PBE.

abc: 5.251 5.251 3.360
angles: 90.00 90.00 90.00
Fractional positions:
Ga 0.000 0.500 0.000
Ga 0.500 0.000 0.000
Hg 0.000 0.000 0.500
Cl 0.500 0.500 0.500

Results
spin magnetization: 0.0 Bohr magnetons per cell
space-group type: P4/mmm (123)
energy: -9.0 eV/cell



Record 8
Ni4SnPt10: optimized geometry, PBE.

abc: 6.970 6.970 6.970
angles: 103.71 103.71 121.73
Fractional positions:
Ni 0.124 0.673 0.797
Ni 0.327 0.124 0.451
Ni 0.673 0.876 0.549
Ni 0.876 0.327 0.203
Sn 0.500 0.500 0.000
Pt 0.008 0.310 0.894
Pt 0.114 0.008 0.698
Pt 0.250 0.750 0.500
Pt 0.310 0.416 0.302
Pt 0.416 0.114 0.106
Pt 0.584 0.886 0.894
Pt 0.690 0.584 0.698
Pt 0.750 0.250 0.500
Pt 0.886 0.992 0.302
Pt 0.992 0.690 0.106

Results
spin magnetization: 4.0 Bohr magnetons per cell
E_form: 0.076 eV/atom
space-group type: I4/m (87)



Record 9
Y3BP: optimized geometry, PBE.

abc: 4.904 4.904 4.904
angles: 90.00 90.00 90.00
Fractional positions:
Y 0.000 0.000 0.500
Y 0.000 0.500 0.000
Y 0.500 0.000 0.000
B 0.000 0.000 0.000
P 0.500 0.500 0.500

Results
spin magnetization: 0.0 Bohr magnetons per cell
E_form: -0.345 eV/atom
space-group type: Pm-3m (221)



Record 10
PrThAg4: optimized geometry, PBE.

abc: 3.455 4.867 8.464
angles: 90.00 90.00 90.00
Fractional positions:
Pr 0.000 0.000 0.000
Th 0.000 0.500 0.500
Ag 0.500 0.000 0.334
Ag 0.500 0.000 0.666
Ag 0.500 0.500 0.167
Ag 0.500 0.500 0.833

Results
spin magnetization: 0.0 Bohr magnetons per cell
E_form: -0.197 eV/atom
space-group type: Pmmm (47)



Record 11
LiZr2Cl: optimized geometry, PBE.

abc: 5.694 5.694 5.694
angles: 139.43 139.43 58.72
Fractional positions:
Li 0.000 0.000 0.000
Zr 0.250 0.750 0.500
Zr 0.500 0.500 0.000
Cl 0.750 0.250 0.500

Results
spin magnetization: 0.0 Bohr magnetons per cell
space-group type: I-4m2 (119)
energy: -20.1 eV/cell



Record 12
GaTe3F: optimized geometry, PBE.

abc: 5.017 5.017 5.017
angles: 90.00 90.00 90.00
Fractional positions:
Ga 0.000 0.000 0.000
Te 0.000 0.500 0.500
Te 0.500 0.000 0.500
Te 0.500 0.500 0.000
F 0.500 0.500 0.500

Results
spin magnetization: 0.0 Bohr magnetons per cell
space-group type: Pm-3m (221)
energy: -14.5 eV/cell



Record 13
KPaGaBr6: optimized geometry, PBE.

abc: 7.808 7.808 13.916
angles: 90.00 90.00 120.00
Fractional positions:
K 0.000 0.000 0.000
K 0.000 0.000 0.500
Pa 0.333 0.667 0.250
Pa 0.667 0.333 0.750
Ga 0.333 0.667 0.750
Ga 0.667 0.333 0.250
Br 0.030 0.377 0.134
Br 0.030 0.653 0.366
Br 0.347 0.377 0.366
Br 0.347 0.970 0.134
Br 0.377 0.030 0.634
Br 0.377 0.347 0.866
Br 0.623 0.653 0.134
Br 0.623 0.970 0.366
Br 0.653 0.030 0.866
Br 0.653 0.623 0.634
Br 0.970 0.347 0.634
Br 0.970 0.623 0.866

Results
spin magnetization: 2.0 Bohr magnetons per cell
space-group type: P-31c (163)
energy: -71.8 eV/cell



Record 14
HfNiHPt2: optimized geometry, PBE.

abc: 4.005 4.005 4.041
angles: 90.00 90.00 90.00
Fractional positions:
Hf 0.000 0.000 0.000
Ni 0.500 0.500 0.000
H 0.500 0.500 0.500
Pt 0.000 0.500 0.500
Pt 0.500 0.000 0.500

Results
spin magnetization: 0.0 Bohr magnetons per cell
space-group type: P4/mmm (123)
energy: -33.8 eV/cell



Record 15
PuScH3: optimized geometry, PBE.

abc: 4.560 3.343 6.813
angles: 90.00 97.72 90.00
Fractional positions:
Pu 0.153 0.250 0.077
Pu 0.847 0.750 0.923
Sc 0.272 0.250 0.615
Sc 0.728 0.750 0.385
H 0.027 0.750 0.634
H 0.462 0.250 0.365
H 0.472 0.750 0.120
H 0.528 0.250 0.880
H 0.538 0.750 0.635
H 0.973 0.250 0.366

Results
spin magnetization: 0.0 Bohr magnetons per cell
space-group type: P2_1/m (11)
energy: -65.4 eV/cell



Record 16
Tb3PmHoTh: optimized geometry, PBE.

abc: 11.294 11.294 6.810
angles: 98.74 98.74 27.88
Fractional positions:
Tb 0.027 0.027 0.275
Tb 0.276 0.276 0.191
Tb 0.336 0.336 0.735
Tb 0.664 0.664 0.265
Tb 0.724 0.724 0.809
Tb 0.973 0.973 0.725
Pm 0.132 0.132 0.958
Pm 0.868 0.868 0.042
Ho 0.169 0.169 0.524
Ho 0.831 0.831 0.476
Th 0.433 0.433 0.328
Th 0.567 0.567 0.672

Results
spin magnetization: 0.0 Bohr magnetons per cell
E_form: 0.198 eV/atom
space-group type: C2/m (12)



Record 17
Ca2Al4NiPt3: optimized geometry, PBE.

abc: 4.284 4.284 10.155
angles: 90.00 90.00 90.00
Fractional positions:
Ca 0.000 0.500 0.241
Ca 0.500 0.000 0.759
Al 0.000 0.000 0.500
Al 0.000 0.500 0.881
Al 0.500 0.000 0.119
Al 0.500 0.500 0.500
Ni 0.500 0.500 0.000
Pt 0.000 0.000 0.000
Pt 0.000 0.500 0.635
Pt 0.500 0.000 0.365

Results
spin magnetization: 0.0 Bohr magnetons per cell
E_form: -0.914 eV/atom
space-group type: P-4m2 (115)



Record 18
Te2Pt2C: optimized geometry, PBE.

abc: 7.104 7.104 3.907
angles: 90.00 90.00 90.00
Fractional positions:
Te 0.189 0.311 0.000
Te 0.311 0.811 0.000
Te 0.689 0.189 0.000
Te 0.811 0.689 0.000
Pt 0.131 0.631 0.500
Pt 0.369 0.131 0.500
Pt 0.631 0.869 0.500
Pt 0.869 0.369 0.500
C 0.000 0.000 0.000
C 0.500 0.500 0.000

Results
spin magnetization: 1.1 Bohr magnetons per cell
space-group type: P4/mbm (127)
energy: -44.3 eV/cell



Record 19
PrSmCuNi: optimized geometry, PBE.

abc: 4.467 5.643 5.643
angles: 39.86 90.00 90.00
Fractional positions:
Pr 0.000 0.000 0.000
Sm 0.500 0.278 0.278
Cu 0.500 0.573 0.573
Ni 0.000 0.708 0.708

Results
spin magnetization: 0.0 Bohr magnetons per cell
E_form: -0.250 eV/atom
space-group type: Amm2 (38)



Record 20
Sm3CuAu2: optimized geometry, PBE.

abc: 3.633 3.633 10.940
angles: 90.00 90.00 90.00
Fractional positions:
Sm 0.000 0.000 0.000
Sm 0.000 0.000 0.340
Sm 0.000 0.000 0.660
Cu 0.500 0.500 0.500
Au 0.500 0.500 0.172
Au 0.500 0.500 0.828

Results
spin magnetization: 0.0 Bohr magnetons per cell
E_form: -0.591 eV/atom
space-group type: P4/mmm (123)



Record 21
SbAu2Se2: optimized geometry, PBE.

abc: 7.658 7.658 3.654
angles: 90.00 90.00 90.00
Fractional positions:
Sb 0.000 0.000 0.000
Sb 0.500 0.500 0.000
Au 0.130 0.370 0.000
Au 0.370 0.870 0.000
Au 0.630 0.130 0.000
Au 0.870 0.630 0.000
Se 0.178 0.678 0.500
Se 0.322 0.178 0.500
Se 0.678 0.822 0.500
Se 0.822 0.322 0.500

Results
spin magnetization: 0.0 Bohr magnetons per cell
space-group type: P4/mbm (127)
energy: -33.0 eV/cell